(A)
A plane-wave DFT calculation with GGA-PBE was carried out for crystalline YTaAl2 at its relaxed geometry.

Total magnetization = 0.00 Bohr magnetons per cell

Cell lengths 4.9757, 4.9757, 5.8308 Å; angles 83.28, 83.28, 35.21 degrees
Fractional positions:
Al 0.5076 0.5076 0.4478
Al 0.9924 0.9924 0.0522
Ta 0.2500 0.2500 0.2500
Y 0.7500 0.7500 0.7500



(B)
A plane-wave DFT calculation with GGA-PBE was carried out for crystalline YTaAl2 at its relaxed geometry.

Total magnetization = 0.00 Bohr magnetons per cell

Cell lengths 5.5520, 5.5520, 5.5520 Å; angles 136.53, 136.53, 63.17 degrees
Fractional positions:
Al 0.0000 0.0000 0.0000
Al 0.2500 0.7500 0.5000
Ta 0.5000 0.5000 0.0000
Y 0.7500 0.2500 0.5000



(C)
A plane-wave DFT calculation with GGA-PBE was carried out for crystalline YTaAl2 at its relaxed geometry.

Total magnetization = 0.00 Bohr magnetons per cell

Cell lengths 4.3562, 4.3563, 4.1392 Å; angles 90.00, 90.00, 90.00 degrees
Fractional positions:
Y 0.0000 0.5000 0.5000
Ta 0.5000 0.0000 0.5000
Al 0.5000 0.5000 0.0000
Al 0.0000 0.0000 0.0000



The computed energies, referenced to the most stable structure and given in meV per atom, are (A) 25; (B) 6; (C) 0.



(A)
A plane-wave DFT calculation with GGA-PBE was carried out for crystalline YTaAl2 at its relaxed geometry.

Total magnetization = 0.00 Bohr magnetons per cell

Cell lengths 10.0213, 10.0213, 10.0213 Å; angles 17.66, 17.66, 17.66 degrees
Fractional positions:
Ta 0.2500 0.2500 0.2500
Y 0.7500 0.7500 0.7500
Al 0.9922 0.9922 0.9922
Al 0.5078 0.5078 0.5078



(B)
A plane-wave DFT calculation with GGA-PBE was carried out for crystalline YTaAl2 at its relaxed geometry.

Total magnetization = 0.00 Bohr magnetons per cell

Cell lengths 3.1603, 3.1603, 7.9350 Å; angles 90.00, 90.00, 90.00 degrees
Fractional positions:
Al 0.0000 0.0000 0.0404
Al 0.5000 0.5000 0.2420
Ta 0.0000 0.0000 0.4561
Y 0.5000 0.5000 0.7615



(C)
A plane-wave DFT calculation with GGA-PBE was carried out for crystalline YTaAl2 at its relaxed geometry.

Total magnetization = 0.00 Bohr magnetons per cell

Cell lengths 4.7998, 4.7998, 4.7998 Å; angles 60.00, 60.00, 60.00 degrees
Fractional positions:
Al 0.2500 0.2500 0.2500
Al 0.7500 0.7500 0.7500
Y 0.0000 0.0000 0.0000
Ta 0.5000 0.5000 0.5000



(D)
A plane-wave DFT calculation with GGA-PBE was carried out for crystalline YTaAl2 at its relaxed geometry.

Total magnetization = 0.00 Bohr magnetons per cell

Cell lengths 4.2986, 3.3421, 5.7894 Å; angles 73.22, 90.00, 90.00 degrees
Fractional positions:
Ta 0.0000 0.4700 0.4347
Al 0.0000 0.1882 0.9987
Al 0.5000 0.0512 0.2732
Y 0.5000 0.7907 0.7934



The computed energies, referenced to the most stable structure and given in meV per atom, are (A) 162; (B) 138; (C) 108; (D) 0.



(A)
A plane-wave DFT calculation with GGA-PBE was carried out for crystalline YTaAl2 at its relaxed geometry.

Total magnetization = 0.00 Bohr magnetons per cell

Cell lengths 5.0747, 5.0747, 3.0200 Å; angles 90.00, 90.00, 90.00 degrees
Fractional positions:
Ta 0.5000 0.0000 0.5000
Al 0.5000 0.5000 0.0000
Al 0.0000 0.0000 0.0000
Y 0.0000 0.5000 0.5000



(B)
A plane-wave DFT calculation with GGA-PBE was carried out for crystalline YTaAl2 at its relaxed geometry.

Total magnetization = 0.00 Bohr magnetons per cell

Cell lengths 5.7287, 5.7287, 5.0900 Å; angles 66.72, 66.72, 31.20 degrees
Fractional positions:
Ta 0.5148 0.5148 0.4408
Al 0.9805 0.9805 0.9707
Al 0.2586 0.2586 0.2961
Y 0.7461 0.7461 0.7923



(C)
A plane-wave DFT calculation with GGA-PBE was carried out for crystalline YTaAl2 at its relaxed geometry.

Total magnetization = 0.00 Bohr magnetons per cell

Cell lengths 5.1827, 5.1827, 3.0208 Å; angles 90.00, 90.00, 107.37 degrees
Fractional positions:
Y 0.0000 0.5000 0.5000
Al 0.0000 0.0000 0.0000
Al 0.5000 0.5000 0.0000
Ta 0.5000 0.0000 0.5000



(D)
A plane-wave DFT calculation with GGA-PBE was carried out for crystalline YTaAl2 at its relaxed geometry.

Total magnetization = 0.00 Bohr magnetons per cell

Cell lengths 4.7925, 4.7925, 4.7925 Å; angles 60.00, 60.00, 60.00 degrees
Fractional positions:
Al 0.7500 0.7500 0.7500
Al 0.0000 0.0000 0.0000
Y 0.2500 0.2500 0.2500
Ta 0.5000 0.5000 0.5000



The computed energies, referenced to the most stable structure and given in meV per atom, are (A) 100; (B) 65; (C) 0; (D) 392.



(A)
A plane-wave DFT calculation with GGA-PBE was carried out for crystalline Y2TaAl2 at its relaxed geometry.

Total magnetization = 2.59 Bohr magnetons per cell

Cell lengths 7.2908, 7.2908, 4.3590 Å; angles 90.00, 90.00, 90.00 degrees
Last column: magnetic moment on the atom in μB.
Fractional positions:
Y 0.8226 0.3226 0.5000  0.07
Y 0.1774 0.6774 0.5000  0.07
Y 0.6774 0.8226 0.5000  0.08
Y 0.3226 0.1774 0.5000  0.08
Al 0.8705 0.6295 0.0000  0.00
Al 0.3705 0.8705 0.0000  0.00
Al 0.1295 0.3705 0.0000  0.00
Al 0.6295 0.1295 0.0000  0.00
Ta 0.5000 0.5000 0.0000  0.58
Ta 0.0000 0.0000 0.0000  0.61



(B)
A plane-wave DFT calculation with GGA-PBE was carried out for crystalline Y2TaAl2 at its relaxed geometry.

Total magnetization = 0.00 Bohr magnetons per cell

Cell lengths 7.2798, 7.2798, 7.2798 Å; angles 147.53, 147.53, 46.58 degrees
Fractional positions:
Al 0.5887 0.5887 0.0000
Al 0.4113 0.4113 0.0000
Ta 0.0000 0.0000 0.0000
Y 0.2500 0.7500 0.5000
Y 0.7500 0.2500 0.5000



The computed energies, referenced to the most stable structure and given in meV per atom, are (A) 0; (B) 483.



(A)
A plane-wave DFT calculation with GGA-PBE was carried out for crystalline Y3TaAl at its relaxed geometry.

Total magnetization = 0.00 Bohr magnetons per cell

Cell lengths 5.4237, 5.4237, 5.4237 Å; angles 90.00, 90.00, 90.00 degrees
Fractional positions:
Al 0.5000 0.5000 0.5000
Y 0.5000 0.0000 0.0000
Y 0.0000 0.5000 0.0000
Y 0.0000 0.0000 0.5000
Ta 0.0000 0.0000 0.0000



(B)
A plane-wave DFT calculation with GGA-PBE was carried out for crystalline Y3TaAl at its relaxed geometry.

Total magnetization = 4.44 Bohr magnetons per cell

Cell lengths 5.3963, 5.3963, 5.3963 Å; angles 90.00, 90.00, 90.00 degrees
Last column: magnetic moment on the atom in μB.
Fractional positions:
Y 0.0000 0.0000 0.5000  0.23
Y 0.5000 0.0000 0.0000  0.19
Y 0.0000 0.5000 0.0000  0.20
Ta 0.5000 0.5000 0.5000  1.64
Al 0.0000 0.0000 0.0000  0.04



The computed energies, referenced to the most stable structure and given in meV per atom, are (A) 0; (B) 224.



(A)
A plane-wave DFT calculation with GGA-PBE was carried out for crystalline YTaAl3 at its relaxed geometry.

Total magnetization = 0.00 Bohr magnetons per cell

Cell lengths 4.9479, 4.9479, 4.9479 Å; angles 90.00, 90.00, 90.00 degrees
Fractional positions:
Y 0.5000 0.5000 0.5000
Al 0.0000 0.5000 0.0000
Al 0.0000 0.0000 0.5000
Al 0.5000 0.0000 0.0000
Ta 0.0000 0.0000 0.0000



(B)
A plane-wave DFT calculation with GGA-PBE was carried out for crystalline YTaAl3 at its relaxed geometry.

Total magnetization = 0.30 Bohr magnetons per cell

Cell lengths 5.0515, 5.0515, 5.0515 Å; angles 90.00, 90.00, 90.00 degrees
Last column: magnetic moment on the atom in μB.
Fractional positions:
Al 0.0000 0.0000 0.5000  0.01
Al 0.0000 0.5000 0.0000  0.02
Al 0.5000 0.0000 0.0000  0.03
Y 0.0000 0.0000 0.0000  0.18
Ta 0.5000 0.5000 0.5000  -0.03



The computed energies, referenced to the most stable structure and given in meV per atom, are (A) 0; (B) 1511.



(A)
A plane-wave DFT calculation with GGA-PBE was carried out for crystalline YTa3Al at its relaxed geometry.

Total magnetization = 0.00 Bohr magnetons per cell

Cell lengths 4.8446, 4.8446, 4.8446 Å; angles 90.00, 90.00, 90.00 degrees
Fractional positions:
Al 0.0000 0.0000 0.0000
Ta 0.5000 0.0000 0.0000
Ta 0.0000 0.0000 0.5000
Ta 0.0000 0.5000 0.0000
Y 0.5000 0.5000 0.5000



(B)
A plane-wave DFT calculation with GGA-PBE was carried out for crystalline YTa3Al at its relaxed geometry.

Total magnetization = 0.00 Bohr magnetons per cell

Cell lengths 4.9109, 4.9109, 4.9109 Å; angles 90.00, 90.00, 90.00 degrees
Fractional positions:
Al 0.5000 0.5000 0.5000
Ta 0.0000 0.5000 0.0000
Ta 0.5000 0.0000 0.0000
Ta 0.0000 0.0000 0.5000
Y 0.0000 0.0000 0.0000



The computed energies, referenced to the most stable structure and given in meV per atom, are (A) 0; (B) 1300.



(A)
A plane-wave DFT calculation with GGA-PBE was carried out for crystalline Ta2AlZn at its relaxed geometry.

Total magnetization = 0.00 Bohr magnetons per cell

Cell lengths 9.6002, 9.6002, 9.6002 Å; angles 17.40, 17.40, 17.40 degrees
Fractional positions:
Zn 0.4972 0.4972 0.4972
Ta 0.2470 0.2470 0.2470
Ta 0.0039 0.0039 0.0039
Al 0.7519 0.7519 0.7519



(B)
A plane-wave DFT calculation with GGA-PBE was carried out for crystalline Ta2AlZn at its relaxed geometry.

Total magnetization = 0.00 Bohr magnetons per cell

Cell lengths 5.1666, 5.1666, 5.1666 Å; angles 135.58, 135.58, 64.63 degrees
Fractional positions:
Ta 0.0000 0.0000 0.0000
Ta 0.2500 0.7500 0.5000
Al 0.7500 0.2500 0.5000
Zn 0.5000 0.5000 0.0000



The computed energies, referenced to the most stable structure and given in meV per atom, are (A) 139; (B) 0.



(A)
A plane-wave DFT calculation with GGA-PBE was carried out for crystalline Ta2AlZn at its relaxed geometry.

Total magnetization = 0.00 Bohr magnetons per cell

Cell lengths 5.3673, 5.3673, 4.8200 Å; angles 65.60, 65.60, 32.05 degrees
Fractional positions:
Ta 0.7581 0.7581 0.7910
Ta 0.9953 0.9953 0.9585
Zn 0.5058 0.5058 0.4373
Al 0.2408 0.2408 0.3132



(B)
A plane-wave DFT calculation with GGA-PBE was carried out for crystalline Ta2AlZn at its relaxed geometry.

Total magnetization = 0.00 Bohr magnetons per cell

Cell lengths 4.2144, 2.8100, 6.3070 Å; angles 62.61, 90.00, 90.00 degrees
Fractional positions:
Zn 0.5000 0.2500 0.2500
Ta 0.0000 0.4958 0.5019
Ta 0.0000 0.0042 0.9981
Al 0.5000 0.7500 0.7500



(C)
A plane-wave DFT calculation with GGA-PBE was carried out for crystalline Ta2AlZn at its relaxed geometry.

Total magnetization = 0.00 Bohr magnetons per cell

Cell lengths 9.5417, 9.5417, 9.5417 Å; angles 17.51, 17.51, 17.51 degrees
Fractional positions:
Ta 0.9997 0.9997 0.9997
Ta 0.5003 0.5003 0.5003
Zn 0.2500 0.2500 0.2500
Al 0.7500 0.7500 0.7500



The computed energies, referenced to the most stable structure and given in meV per atom, are (A) 79; (B) 0; (C) 147.



(A)
A plane-wave DFT calculation with GGA-PBE was carried out for crystalline Ta2AlZn at its relaxed geometry.

Total magnetization = 0.00 Bohr magnetons per cell

Cell lengths 7.1776, 7.1776, 5.7734 Å; angles 51.57, 51.57, 90.00 degrees
Fractional positions:
Zn 0.7500 0.2500 0.5000
Zn 0.0000 0.0000 0.0000
Ta 0.1200 0.6250 0.2500
Ta 0.6300 0.1250 0.2500
Ta 0.3750 0.3700 0.7500
Ta 0.8750 0.8800 0.7500
Al 0.2500 0.7500 0.5000
Al 0.5000 0.5000 0.0000



(B)
A plane-wave DFT calculation with GGA-PBE was carried out for crystalline Ta2AlZn at its relaxed geometry.

Total magnetization = 0.00 Bohr magnetons per cell

Cell lengths 4.1421, 2.9965, 5.5415 Å; angles 74.28, 90.00, 90.00 degrees
Fractional positions:
Al 0.5000 0.5594 0.7564
Ta 0.5000 0.2988 0.2781
Ta 0.0000 0.9505 0.9735
Zn 0.0000 0.6914 0.4920



The computed energies, referenced to the most stable structure and given in meV per atom, are (A) 519; (B) 0.



(A)
A plane-wave DFT calculation with GGA-PBE was carried out for crystalline Ta2AlZn at its relaxed geometry.

Total magnetization = 0.00 Bohr magnetons per cell

Cell lengths 5.0684, 5.0684, 5.0684 Å; angles 135.13, 132.91, 67.07 degrees
Fractional positions:
Ta 0.4996 0.4996 0.0000
Ta 0.0004 0.0004 0.0000
Al 0.2500 0.7500 0.5000
Zn 0.7500 0.2500 0.5000



(B)
A plane-wave DFT calculation with GGA-PBE was carried out for crystalline Ta2AlZn at its relaxed geometry.

Total magnetization = 0.00 Bohr magnetons per cell

Cell lengths 2.8437, 2.8437, 8.1694 Å; angles 90.00, 90.00, 90.00 degrees
Fractional positions:
Al 0.5000 0.5000 0.7500
Ta 0.0000 0.0000 0.4960
Ta 0.0000 0.0000 0.0040
Zn 0.5000 0.5000 0.2500



The computed energies, referenced to the most stable structure and given in meV per atom, are (A) 0; (B) 6.



(A)
A plane-wave DFT calculation with GGA-PBE was carried out for crystalline Ta2AlZn at its relaxed geometry.

Total magnetization = 0.51 Bohr magnetons per cell

Cell lengths 4.5721, 4.5721, 4.5721 Å; angles 60.00, 60.00, 60.00 degrees
Last column: magnetic moment on the atom in μB.
Fractional positions:
Al 0.5000 0.5000 0.5000  0.00
Ta 0.2500 0.2500 0.2500  0.17
Ta 0.0000 0.0000 0.0000  0.20
Zn 0.7500 0.7500 0.7500  0.00



(B)
A plane-wave DFT calculation with GGA-PBE was carried out for crystalline Ta2AlZn at its relaxed geometry.

Total magnetization = 0.00 Bohr magnetons per cell

Cell lengths 3.0285, 3.7849, 5.9860 Å; angles 90.00, 90.00, 90.00 degrees
Fractional positions:
Zn 0.0000 0.0000 0.5128
Ta 0.0000 0.0000 0.0032
Ta 0.5000 0.5000 0.2438
Al 0.5000 0.5000 0.7403



The computed energies, referenced to the most stable structure and given in meV per atom, are (A) 155; (B) 0.